! TaGa2Os2, optimized geometry, DFT PBE; values from VASP
&SYSTEM
  ibrav = 0, nat = 10, ntyp = 3
/
ATOMIC_SPECIES
Ta 180.95 Ta.upf
Ga 69.72 Ga.upf
Os 190.23 Os.upf
CELL_PARAMETERS angstrom
7.250 0.000 0.000
0.000 7.250 0.000
0.000 0.000 2.898
ATOMIC_POSITIONS angstrom
Ta 0.000 0.000 0.000
Ta 3.625 3.625 0.000
Ga 0.895 2.729 0.000
Ga 2.729 6.354 0.000
Ga 4.520 0.895 0.000
Ga 6.354 4.520 0.000
Os 1.279 4.903 1.449
Os 2.346 1.279 1.449
Os 4.903 5.971 1.449
Os 5.971 2.346 1.449
! - energy above the most stable polymorph in this dataset (eV/atom) = 0.000
! - ΔE_f (meV per atom) = 49
! - total moment (μB per cell) = 0.00
! - N(E_F) (states/eV/f.u.) = 4.86
! - V (Å³ per cell) = 152.30
! - DFT total energy (eV/atom) = -8.024



! Ga5Bi3S12, optimized geometry, DFT PBE; values from VASP
&SYSTEM
  ibrav = 0, nat = 80, ntyp = 3
/
ATOMIC_SPECIES
Ga 69.72 Ga.upf
Bi 208.98 Bi.upf
S 32.06 S.upf
CELL_PARAMETERS angstrom
-7.631 7.631 7.631
7.631 -7.631 7.631
7.631 7.631 -7.631
ATOMIC_POSITIONS angstrom
Ga 0.000 0.000 0.000
Ga 3.816 3.816 -3.816
Ga 3.816 -3.816 3.816
Ga 7.631 0.000 0.000
Ga 11.447 1.908 0.000
Ga 7.631 -3.816 5.723
Ga 5.723 7.631 -3.816
Ga 5.723 0.000 3.816
Ga 3.816 5.723 0.000
Ga 7.631 3.816 1.908
Ga -3.816 3.816 3.816
Ga 0.000 7.631 0.000
Ga 0.000 0.000 7.631
Ga 3.816 3.816 3.816
Ga 0.000 3.816 5.723
Ga 3.816 1.908 7.631
Ga 1.908 7.631 3.816
Ga 1.908 0.000 11.447
Ga 0.000 11.447 1.908
Ga -3.816 5.723 7.631
Bi 3.816 1.908 0.000
Bi 7.631 3.816 -1.908
Bi 1.908 0.000 3.816
Bi 9.539 0.000 3.816
Bi 0.000 3.816 1.908
Bi 3.816 -1.908 7.631
Bi 3.816 9.539 0.000
Bi 7.631 3.816 5.723
Bi -1.908 7.631 3.816
Bi 5.723 7.631 3.816
Bi 0.000 3.816 9.539
Bi 3.816 5.723 7.631
S 2.281 -0.435 0.876
S 9.166 4.691 -4.250
S 9.912 0.435 0.876
S 9.166 -2.940 4.250
S 7.196 -0.876 2.281
S 11.881 -1.535 2.940
S 0.876 2.281 -0.435
S 10.571 3.381 -1.535
S 4.691 4.250 -1.535
S 6.755 2.281 0.435
S -0.435 0.876 2.281
S 4.250 -1.535 4.691
S 7.196 6.755 -2.281
S 4.250 1.535 2.940
S 4.691 -4.250 9.166
S 6.755 -2.281 7.196
S 2.940 4.250 1.535
S 8.507 5.350 0.435
S 4.250 9.166 -2.940
S 7.196 0.876 5.350
S 2.281 7.196 -0.876
S 9.166 2.940 3.381
S 1.535 2.940 4.250
S 2.281 0.435 6.755
S 5.350 7.196 0.876
S 6.096 4.691 3.381
S -1.535 4.691 4.250
S 5.350 0.435 8.507
S 0.435 6.755 2.281
S 3.381 -1.535 10.571
S -0.876 2.281 7.196
S 4.691 3.381 6.096
S 0.876 9.912 0.435
S 2.940 11.881 -1.535
S 3.381 6.096 4.691
S 0.435 0.876 9.912
S 3.381 9.166 2.940
S 8.066 6.755 5.350
S 0.876 5.350 7.196
S 2.940 3.381 9.166
S -2.940 4.250 9.166
S 6.755 5.350 8.066
S -4.250 9.166 4.691
S 0.435 8.507 5.350
S -1.535 10.571 3.381
S -2.281 7.196 6.755
S -1.535 2.940 11.881
S 5.350 8.066 6.755
! - total moment (μB per cell) = 0.00
! - formation energy (no corrections) (eV/atom) = -0.48
! - N(E_F) (states/eV/f.u.) = 0.00
! - V (Å³ per cell) = 1777.51
! - DFT total energy (eV/atom) = -4.297



! Na2TlAg3, optimized geometry, DFT PBE; values from VASP
&SYSTEM
  ibrav = 0, nat = 6, ntyp = 3
/
ATOMIC_SPECIES
Na 22.99 Na.upf
Tl 204.38 Tl.upf
Ag 107.87 Ag.upf
CELL_PARAMETERS angstrom
5.031 -2.891 0.000
5.031 2.891 0.000
-3.318 0.000 4.796
ATOMIC_POSITIONS angstrom
Na 0.013 0.000 1.761
Na 6.731 0.000 3.035
Tl 3.372 0.000 2.398
Ag 2.515 1.445 0.000
Ag 2.515 -1.445 0.000
Ag 5.031 0.000 0.000
! - ΔE_f (meV per atom) = -51
! - total moment (μB per cell) = 0.00
! - N(E_F) (states/eV/f.u.) = 2.30
! - V (Å³ per cell) = 139.50
! - DFT total energy (eV/atom) = -2.311